[1]
{
  "formula": "Li6GaAg8",
  "functional": "PBE",
  "state": "relaxed",
  "space_group": "R-3, No. 148",
  "formation_energy_mev_per_atom": -142,
  "cell": [[3.648, 2.106, 5.593], [-3.648, 2.106, 5.593], [0.000, -4.212, 5.593]],
  "species": ["Li", "Li", "Li", "Li", "Li", "Li", "Ga", "Ag", "Ag", "Ag", "Ag", "Ag", "Ag", "Ag", "Ag"],
  "frac_coords": [[0.038, 0.545, 0.780], [0.220, 0.962, 0.455], [0.455, 0.220, 0.962], [0.545, 0.780, 0.038], [0.780, 0.038, 0.545], [0.962, 0.455, 0.220], [0.500, 0.500, 0.500], [0.086, 0.086, 0.086], [0.163, 0.627, 0.328], [0.328, 0.163, 0.627], [0.373, 0.672, 0.837], [0.627, 0.328, 0.163], [0.672, 0.837, 0.373], [0.837, 0.373, 0.672], [0.914, 0.914, 0.914]]
}

=====

[2]
{
  "formula": "AgPbBr4",
  "functional": "PBE",
  "state": "relaxed",
  "space_group": "I-4, No. 82",
  "e_form_raw_ev_per_atom": -0.489,
  "cell": [[-3.677, 3.677, 3.874], [3.677, -3.677, 3.874], [3.677, 3.677, -3.874]],
  "species": ["Ag", "Pb", "Br", "Br", "Br", "Br"],
  "frac_coords": [[0.000, 0.000, 0.000], [0.750, 0.250, 0.500], [0.227, 0.268, 0.499], [0.272, 0.773, 0.041], [0.732, 0.231, 0.959], [0.769, 0.728, 0.501]]
}

=====

[3]
{
  "formula": "NdSmAgI",
  "functional": "PBE",
  "state": "relaxed",
  "space_group": "F-43m, No. 216",
  "e_form_raw_ev_per_atom": -0.367,
  "cell": [[0.000, 3.827, 3.827], [3.827, 0.000, 3.827], [3.827, 3.827, 0.000]],
  "species": ["Nd", "Sm", "Ag", "I"],
  "frac_coords": [[0.000, 0.000, 0.000], [0.500, 0.500, 0.500], [0.250, 0.250, 0.250], [0.750, 0.750, 0.750]]
}

=====

The following total energy values (in eV per atom) correspond, in order, to the records above: -2.6302; -2.6971; -3.8393.